[1]
Y2MgIn, optimized geometry, DFT GGA-PBEsol; formation energy = -0.300 eV per atom; DOS(E_F) = 3.7 states/eV/cell
1.0
3.5682 0.0000 0.0000
0.0000 4.8533 0.0000
-1.7911 0.0000 6.1146
Y Mg In
2 1 1
Direct
0.0000 0.0000 0.0000
0.3347 0.5000 0.6686
0.7347 0.0000 0.4684
0.5972 0.5000 0.1937

=====

[2]
TmZn, optimized geometry, DFT GGA-PBEsol; formation energy = -0.355 eV per atom; DOS(E_F) = 2.0 states/eV/cell
1.0
3.4589 0.0000 0.0000
0.0000 3.4589 0.0000
0.0000 0.0000 3.4589
Tm Zn
1 1
Direct
0.0000 0.0000 0.0000
0.5000 0.5000 0.5000

=====

[3]
LaZn2In, optimized geometry, DFT GGA-PBEsol; formation energy = -0.311 eV per atom; DOS(E_F) = 2.7 states/eV/cell
1.0
2.1705 1.2531 5.6140
-2.1705 1.2531 5.6140
0.0000 -2.5063 5.6140
La Zn In
1 2 1
Direct
0.0000 0.0000 0.0000
0.2158 0.2158 0.2158
0.5361 0.5361 0.5361
0.7929 0.7929 0.7929

=====

[4]
CrNi2, optimized geometry, DFT GGA-PBEsol; formation energy = 0.057 eV per atom; DOS(E_F) = 12.4 states/eV/cell
1.0
6.7740 0.0000 0.0000
-3.3870 5.8665 0.0000
0.0000 0.0000 2.3984
Cr Ni
3 6
Direct
0.0000 0.0000 0.0000
0.3333 0.6667 0.5000
0.6667 0.3333 0.5000
0.0000 0.3536 0.0000
0.0000 0.6901 0.5000
0.3099 0.3099 0.5000
0.3536 0.0000 0.0000
0.6464 0.6464 0.0000
0.6901 0.0000 0.5000

=====

Which of these has the lowest DOS(E_F)?
TmZn

=====

The highest DOS(E_F) belongs to which entry?
CrNi2

=====

Which value of formation energy does entry 1 give?
-0.300 eV per atom